(1)
## CsRb2TcCl6 (PBE)

Data for a relaxed structure of CsRb2TcCl6. Values from VASP.

The structure in Quantum ESPRESSO input format:
```
&SYSTEM
  ibrav = 0, nat = 20, ntyp = 4
/
ATOMIC_SPECIES
Cs 132.91 Cs.upf
Rb 85.47 Rb.upf
Tc 98.00 Tc.upf
Cl 35.45 Cl.upf
CELL_PARAMETERS angstrom
-6.498 -2.783 1.844
-4.668 -2.134 -5.199
2.851 -16.778 -0.807
ATOMIC_POSITIONS angstrom
Cs -5.842 -6.966 -2.161
Cs -2.472 -14.728 -2.002
Rb -8.284 -11.553 -3.219
Rb -0.030 -10.142 -0.944
Rb -4.994 -19.130 -3.063
Rb -3.320 -2.564 -1.099
Tc 0.000 0.000 0.000
Tc -4.157 -10.847 -2.081
Cl -6.021 -10.083 -0.722
Cl -5.164 -9.779 -4.018
Cl -2.980 -8.781 -1.585
Cl -2.294 -11.611 -3.441
Cl -3.150 -11.915 -0.145
Cl -5.335 -12.914 -2.578
Cl -2.922 -17.724 -0.369
Cl -1.943 -17.376 -4.135
Cl 0.553 -16.236 -1.355
Cl -5.393 -3.971 -3.794
Cl -6.371 -4.318 -0.028
Cl -8.868 -5.459 -2.808
```

Calculated values
**Magnetization**: 4.00 Bohr magnetons per cell
**Uncorrected formation energy**: -1.421 eV per atom
**Crystal system**: trigonal
**Offset from the most stable computed form**: 0 kJ/mol of formula units



(2)
## NdScO3 (PBE)

Data for a relaxed structure of NdScO3. Values from VASP.

The structure in Quantum ESPRESSO input format:
```
&SYSTEM
  ibrav = 0, nat = 10, ntyp = 3
/
ATOMIC_SPECIES
Nd 144.24 Nd.upf
Sc 44.96 Sc.upf
O 16.00 O.upf
CELL_PARAMETERS angstrom
3.855 0.000 0.000
0.000 5.201 -2.285
0.000 -0.265 8.413
ATOMIC_POSITIONS angstrom
Nd 2.891 0.326 4.933
Nd 0.964 2.197 2.255
Sc 0.964 3.337 5.465
Sc 2.891 4.388 -0.562
O 2.891 0.972 2.665
O 2.891 2.843 6.152
O 0.964 4.881 -1.249
O 0.964 1.552 4.523
O 0.964 4.229 3.662
O 2.891 3.495 1.241
```

Calculated values
**Magnetization**: 0.00 Bohr magnetons per cell
**Uncorrected formation energy**: -3.416 eV per atom
**Crystal system**: monoclinic



(3)
## ScCuPtRh (PBE)

Data for a relaxed structure of ScCuPtRh. Values from VASP.

The structure in Quantum ESPRESSO input format:
```
&SYSTEM
  ibrav = 0, nat = 4, ntyp = 4
/
ATOMIC_SPECIES
Sc 44.96 Sc.upf
Cu 63.55 Cu.upf
Pt 195.08 Pt.upf
Rh 102.91 Rh.upf
CELL_PARAMETERS angstrom
-2.526 1.217 -2.436
0.291 -3.416 -2.008
-2.993 -1.607 2.300
ATOMIC_POSITIONS angstrom
Sc -2.759 -0.195 -0.068
Cu -1.117 -1.100 -2.222
Pt 0.000 0.000 0.000
Rh -1.351 -2.512 0.146
```

Calculated values
**Magnetization**: 0.00 Bohr magnetons per cell
**Crystal system**: orthorhombic
**Offset from the most stable computed form**: 0 kJ/mol of formula units



(4)
## Ba2Al2O5 (PBE)

Data for a relaxed structure of Ba2Al2O5. Values from VASP.

The structure in Quantum ESPRESSO input format:
```
&SYSTEM
  ibrav = 0, nat = 9, ntyp = 3
/
ATOMIC_SPECIES
Ba 137.33 Ba.upf
Al 26.98 Al.upf
O 16.00 O.upf
CELL_PARAMETERS angstrom
-0.434 1.417 3.600
4.936 -2.616 -0.481
1.550 5.996 -2.174
ATOMIC_POSITIONS angstrom
Ba 4.854 2.500 -0.399
Ba 1.198 2.297 1.345
Al 2.853 4.832 -1.559
Al 3.199 -0.036 2.504
O 3.132 -0.938 0.747
O 2.920 5.735 0.199
O 2.268 3.242 -1.003
O 3.784 1.554 1.949
O 0.000 0.000 0.000
```

Calculated values
**Magnetization**: 0.00 Bohr magnetons per cell
**Uncorrected formation energy**: -2.804 eV per atom
**Crystal system**: monoclinic



(5)
## ZrCu2Se4 (PBE)

Data for a relaxed structure of ZrCu2Se4. Values from VASP.

The structure in Quantum ESPRESSO input format:
```
&SYSTEM
  ibrav = 0, nat = 14, ntyp = 3
/
ATOMIC_SPECIES
Zr 91.22 Zr.upf
Cu 63.55 Cu.upf
Se 78.96 Se.upf
CELL_PARAMETERS angstrom
-3.078 2.012 -0.399
-0.369 -4.874 -4.583
-5.515 -6.896 7.779
ATOMIC_POSITIONS angstrom
Zr -6.079 -4.983 4.625
Zr -2.884 -4.775 -1.827
Cu -2.878 -3.977 2.154
Cu -8.111 -8.314 3.501
Cu -0.852 -1.444 -0.703
Cu -6.085 -5.781 0.643
Se -3.295 -2.053 -2.080
Se -4.766 -3.893 -0.005
Se -5.668 -7.705 4.878
Se -4.197 -5.865 2.802
Se -7.386 -7.632 1.350
Se -1.577 -2.126 1.447
Se -1.539 1.006 -0.199
Se -4.297 -2.442 3.690
```

Calculated values
**Magnetization**: 0.00 Bohr magnetons per cell
**Uncorrected formation energy**: -0.553 eV per atom
**Crystal system**: orthorhombic



(6)
## NaNbPd2I (PBE)

Data for a relaxed structure of NaNbPd2I. Values from VASP.

The structure in Quantum ESPRESSO input format:
```
&SYSTEM
  ibrav = 0, nat = 5, ntyp = 4
/
ATOMIC_SPECIES
I 126.90 I.upf
Na 22.99 Na.upf
Nb 92.91 Nb.upf
Pd 106.42 Pd.upf
CELL_PARAMETERS angstrom
4.714 0.000 0.000
0.000 5.334 0.000
0.000 0.000 4.714
ATOMIC_POSITIONS angstrom
I 2.357 2.667 2.357
Na 0.000 0.000 0.000
Nb 0.000 2.667 0.000
Pd 0.000 0.000 2.357
Pd 2.357 0.000 0.000
```

Calculated values
**Magnetization**: 3.16 Bohr magnetons per cell
**Uncorrected formation energy**: 1.293 eV per atom
**Crystal system**: tetragonal



(7)
## NaMg5Pb2 (PBE)

Data for a relaxed structure of NaMg5Pb2. Values from VASP.

The structure in Quantum ESPRESSO input format:
```
&SYSTEM
  ibrav = 0, nat = 8, ntyp = 3
/
ATOMIC_SPECIES
Na 22.99 Na.upf
Mg 24.30 Mg.upf
Pb 207.20 Pb.upf
CELL_PARAMETERS angstrom
4.497 0.000 0.000
2.248 7.062 0.107
2.248 1.403 6.922
ATOMIC_POSITIONS angstrom
Na 0.000 0.000 0.000
Mg 2.248 4.232 3.514
Mg 4.497 4.042 1.268
Mg 4.497 4.423 5.761
Mg 4.497 6.476 3.289
Mg 4.497 1.989 3.740
Pb 6.745 6.538 5.429
Pb 2.248 1.926 1.600
```

Calculated values
**Magnetization**: 0.00 Bohr magnetons per cell
**Crystal system**: orthorhombic
**Offset from the most stable computed form**: 16 kJ/mol of formula units



(8)
## CsK2Co2 (PBE)

Data for a relaxed structure of CsK2Co2. Values from VASP.

The structure in Quantum ESPRESSO input format:
```
&SYSTEM
  ibrav = 0, nat = 5, ntyp = 3
/
ATOMIC_SPECIES
Cs 132.91 Cs.upf
K 39.10 K.upf
Co 58.93 Co.upf
CELL_PARAMETERS angstrom
6.079 0.000 0.000
0.000 6.079 0.000
3.040 3.040 6.099
ATOMIC_POSITIONS angstrom
Cs 0.000 0.000 0.000
K 3.040 3.040 1.916
K 6.079 6.079 4.183
Co 6.079 3.040 3.049
Co 3.040 6.079 3.049
```

Calculated values
**Magnetization**: 3.40 Bohr magnetons per cell
**DFT total energy**: -2.20 eV per atom
**Crystal system**: tetragonal